Entry 1:
Density functional theory data (PBE) for an optimized crystal structure of Nd6Ga5Hg.

- Fermi-level density of states (states/eV per cell) = 9.27
- ΔH_f (0 K) (eV per atom) = -0.5347
- symmetry = P2/m (10)

a = 5.280 Å, b = 7.440 Å, c = 8.348 Å
α = 90.00°, β = 71.37°, γ = 90.00°
Atoms (fractional coordinates):
Ga: 0.663 0.000 0.674
Ga: 0.665 0.500 0.669
Ga: 0.337 0.000 0.326
Ga: 0.000 0.500 0.000
Ga: 0.335 0.500 0.331
Nd: 0.500 0.255 0.000
Nd: 0.169 0.252 0.661
Nd: 0.169 0.748 0.661
Nd: 0.500 0.745 0.000
Nd: 0.831 0.252 0.339
Nd: 0.831 0.748 0.339
Hg: 0.000 0.000 0.000

Entry 2:
Density functional theory data (PBE) for an optimized crystal structure of Nd2Ga3Hg.

- Fermi-level density of states (states/eV per cell) = 7.97
- ΔH_f (0 K) (eV per atom) = -0.5795
- symmetry = Fmmm (69)

a = 6.025 Å, b = 6.025 Å, c = 8.784 Å
α = 107.51°, β = 107.51°, γ = 97.05°
Atoms (fractional coordinates):
Ga: 0.162 0.677 0.838
Ga: 0.838 0.323 0.162
Ga: 0.323 0.838 0.162
Ga: 0.162 0.162 0.323
Ga: 0.838 0.838 0.677
Ga: 0.677 0.162 0.838
Hg: 0.333 0.333 0.666
Hg: 0.667 0.667 0.334
Nd: 0.750 0.250 0.500
Nd: 0.253 0.253 0.000
Nd: 0.250 0.750 0.500
Nd: 0.747 0.747 0.000

Entry 3:
Density functional theory data (PBE) for an optimized crystal structure of Nd5Ga2Hg.

- energy above the lowest structure with this stoichiometry (kJ/mol of atoms) = 9.57
- Fermi-level density of states (states/eV per cell) = 8.39
- ΔH_f (0 K) (eV per atom) = -0.3201
- symmetry = I4/mmm (139)

a = 7.063 Å, b = 7.063 Å, c = 6.681 Å
α = 121.95°, β = 121.95°, γ = 89.96°
Atoms (fractional coordinates):
Ga: 0.722 0.222 0.444
Ga: 0.222 0.722 0.444
Nd: 0.722 0.722 0.444
Nd: 0.722 0.722 0.944
Nd: 0.722 0.222 0.944
Nd: 0.222 0.722 0.944
Nd: 0.222 0.222 0.944
Hg: 0.222 0.222 0.445

Entry 4:
Density functional theory data (PBE) for an optimized crystal structure of NdGaHg2.

- Fermi-level density of states (states/eV per cell) = 2.63
- ΔH_f (0 K) (eV per atom) = -0.2662
- symmetry = P4/mmm (123)

a = 3.706 Å, b = 3.706 Å, c = 7.163 Å
α = 90.00°, β = 90.00°, γ = 90.00°
Each line ends with the local moment (μB).
Atoms (fractional coordinates):
Hg: 0.000 0.000 0.775  0.01
Hg: 0.000 0.000 0.225  0.01
Nd: 0.500 0.500 0.500  0.16
Ga: 0.500 0.500 0.000  0.01

Entry 5:
Density functional theory data (PBE) for an optimized crystal structure of NdGaHg2.

- Fermi-level density of states (states/eV per cell) = 6.75
- ΔH_f (0 K) (eV per atom) = -0.3748
- symmetry = Cmcm (63)

a = 4.522 Å, b = 9.684 Å, c = 9.119 Å
α = 90.00°, β = 104.35°, γ = 90.00°
Atoms (fractional coordinates):
Hg: 0.695 0.905 0.389
Hg: 0.054 0.250 0.109
Hg: 0.898 0.250 0.797
Hg: 0.305 0.095 0.611
Hg: 0.305 0.405 0.611
Hg: 0.946 0.750 0.891
Hg: 0.695 0.595 0.389
Hg: 0.102 0.750 0.203
Nd: 0.500 0.500 0.000
Nd: 0.699 0.250 0.398
Nd: 0.500 0.000 0.000
Nd: 0.301 0.750 0.602
Ga: 0.858 0.971 0.716
Ga: 0.858 0.529 0.716
Ga: 0.142 0.029 0.284
Ga: 0.142 0.471 0.284

Entry 6:
Density functional theory data (PBE) for an optimized crystal structure of Nd3Ga2Hg.

- Fermi-level density of states (states/eV per cell) = 4.40
- ΔH_f (0 K) (eV per atom) = -0.5269
- symmetry = P4/mmm (123)

a = 3.687 Å, b = 3.687 Å, c = 11.592 Å
α = 90.00°, β = 90.00°, γ = 90.00°
Atoms (fractional coordinates):
Nd: 0.000 0.000 0.321
Nd: 0.000 0.000 0.000
Nd: 0.000 0.000 0.679
Ga: 0.500 0.500 0.164
Ga: 0.500 0.500 0.836
Hg: 0.500 0.500 0.500